# 1
A geometry-optimized BeAs2Ir structure, computed with PBE.

Results
Calculated formation energy ... 0.18 eV/atom
Total energy ... -5.288 eV per atom

a b c (Å): 2.843 2.843 9.338
angles (deg): 90.00 90.00 120.34
Positions (direct):
Be (0.000, 0.000, 0.520)
As (0.000, 0.000, 0.951)
As (0.500, 0.500, 0.312)
Ir (0.500, 0.500, 0.717)

# 2
A geometry-optimized HfGa2Si structure, computed with PBE.

Results
Total energy ... -5.395 eV per atom

a b c (Å): 7.373 7.373 5.868
angles (deg): 51.08 51.08 90.00
Positions (direct):
Ga (0.375, 0.409, 0.750)
Ga (0.875, 0.841, 0.750)
Ga (0.591, 0.125, 0.250)
Ga (0.159, 0.625, 0.250)
Hf (0.000, 0.000, 0.000)
Hf (0.750, 0.250, 0.500)
Si (0.250, 0.750, 0.500)
Si (0.500, 0.500, 0.000)